# 1
Nd8Ge5Pd | PBE | optimized geometry

## Properties
energy of formation from the pure elements: -0.7557 eV/atom
DOS at the Fermi energy: 0.5696 states/eV per atom
M_tot: 0.00 μB/cell

Geometry as CIF:
```
data_Nd8Ge5Pd
_chemical_formula_sum 'Nd16 Ge10 Pd2'
_symmetry_space_group_name_H-M 'I -4'
_symmetry_Int_Tables_number 82
_symmetry_space_group_name_Hall 'I -4'
_cell_length_a 9.122
_cell_length_b 9.122
_cell_length_c 9.240
_cell_angle_alpha 90.00
_cell_angle_beta 90.00
_cell_angle_gamma 90.00
loop_
_atom_site_label
_atom_site_fract_x
_atom_site_fract_y
_atom_site_fract_z
_atom_site_occupancy
Nd1 0.063 0.187 0.193 1
Nd2 0.070 0.314 0.565 1
Ge1 0.000 0.000 0.500 1
Ge2 0.123 0.250 0.877 1
Pd1 0.000 0.500 0.250 1
```


# 2
Nd2Ge4Pd5 | PBE | optimized geometry

## Properties
energy of formation from the pure elements: -0.6656 eV/atom
DOS at the Fermi energy: 0.7960 states/eV per atom
M_tot: 0.00 μB/cell

Geometry as CIF:
```
data_Nd2Ge4Pd5
_chemical_formula_sum 'Nd8 Ge16 Pd20'
_symmetry_space_group_name_H-M 'F m m m'
_symmetry_Int_Tables_number 69
_symmetry_space_group_name_Hall '-F 2 2'
_cell_length_a 5.792
_cell_length_b 9.920
_cell_length_c 14.909
_cell_angle_alpha 90.00
_cell_angle_beta 90.00
_cell_angle_gamma 90.00
loop_
_atom_site_label
_atom_site_fract_x
_atom_site_fract_y
_atom_site_fract_z
_atom_site_occupancy
Nd1 0.000 0.000 0.140 1
Ge1 0.000 0.146 0.367 1
Pd1 0.000 0.000 0.500 1
Pd2 0.250 0.250 0.000 1
Pd3 0.250 0.250 0.250 1
```


Copy entry 2 word for word.
Nd2Ge4Pd5 | PBE | optimized geometry

## Properties
energy of formation from the pure elements: -0.6656 eV/atom
DOS at the Fermi energy: 0.7960 states/eV per atom
M_tot: 0.00 μB/cell

Geometry as CIF:
```
data_Nd2Ge4Pd5
_chemical_formula_sum 'Nd8 Ge16 Pd20'
_symmetry_space_group_name_H-M 'F m m m'
_symmetry_Int_Tables_number 69
_symmetry_space_group_name_Hall '-F 2 2'
_cell_length_a 5.792
_cell_length_b 9.920
_cell_length_c 14.909
_cell_angle_alpha 90.00
_cell_angle_beta 90.00
_cell_angle_gamma 90.00
loop_
_atom_site_label
_atom_site_fract_x
_atom_site_fract_y
_atom_site_fract_z
_atom_site_occupancy
Nd1 0.000 0.000 0.140 1
Ge1 0.000 0.146 0.367 1
Pd1 0.000 0.000 0.500 1
Pd2 0.250 0.250 0.000 1
Pd3 0.250 0.250 0.250 1
```


- What is the energy of formation from the pure elements in the first record?
  -0.7557 eV/atom